PrZrF7 (PBEsol, relaxed); symmetry = P2_1 (4); total magnetization = 0.07 μB/f.u.; E_form (uncorrected) = -3.917 eV per atom
1.0
5.8574 0.0000 0.0000
0.0000 6.2484 -0.0556
0.0000 -1.7453 8.2403
Pr Zr F
2 2 14
Direct
0.8006 0.3428 0.3115
0.3006 0.6572 0.6885
0.7918 0.1887 0.7756
0.2918 0.8113 0.2244
0.6141 0.5573 0.5255
0.1141 0.4427 0.4745
0.0538 0.0450 0.2313
0.5538 0.9550 0.7687
0.5274 0.0520 0.2443
0.0274 0.9480 0.7557
0.5238 0.5705 0.2113
0.0238 0.4295 0.7887
0.7999 0.2358 0.0187
0.2999 0.7642 0.9813
0.7835 0.1452 0.5323
0.2835 0.8548 0.4677
0.0286 0.5993 0.2073
0.5286 0.4007 0.7927



PrZr2F11 (PBEsol, relaxed); symmetry = Ibam (72); total magnetization = 0.00 μB/f.u.; E_form (uncorrected) = -3.874 eV per atom
1.0
7.7733 0.0000 0.0000
3.8866 7.4279 -0.0021
3.8866 0.6283 7.4013
Pr Zr F
2 4 22
Direct
0.7500 0.2500 0.2500
0.2500 0.7500 0.7500
0.6335 0.8189 0.1811
0.3665 0.1811 0.8189
0.8665 0.3189 0.6811
0.1335 0.6811 0.3189
0.7607 0.3210 0.9522
0.8704 0.7187 0.2813
0.9661 0.9522 0.3210
0.3646 0.9475 0.7935
0.6296 0.2187 0.7813
0.8944 0.7935 0.9475
0.7393 0.5478 0.1790
0.3944 0.4475 0.2935
0.3704 0.7813 0.2187
0.8646 0.2935 0.4475
0.2607 0.4522 0.8210
0.1354 0.7065 0.5525
0.6056 0.5525 0.7065
0.0339 0.0478 0.6790
0.5000 0.0000 0.0000
0.4661 0.8210 0.4522
0.1056 0.2065 0.0525
0.2393 0.6790 0.0478
0.5339 0.1790 0.5478
0.1296 0.2813 0.7187
0.6354 0.0525 0.2065
0.0000 0.5000 0.5000